Record 1
VASP calculation (PBE) on crystalline Ti2SnIr at its relaxed geometry.

**Calculated formation energy**: -0.252 eV per atom
**DOS at the Fermi energy**: 3.663 states/eV/f.u.

a b c (Å): 3.2550 3.2550 24.5047
angles (deg): 90.00 90.00 120.00
Space group R-3m (No. 166, hexagonal axes)
Unique sites:
Ti1 0.0000 0.0000 0.2372
Sn1 0.0000 0.0000 0.0000
Ir1 0.0000 0.0000 0.5000

***

Record 2
VASP calculation (PBE) on crystalline Ti2SnIr at its relaxed geometry.

**Calculated formation energy**: -0.410 eV per atom
**DOS at the Fermi energy**: 4.581 states/eV/f.u.

a b c (Å): 3.450 3.450 5.756
angles (deg): 90.00 90.00 90.00
Space group P4/mmm (No. 123)
Unique sites:
Ti1 0.000 0.000 0.228
Sn1 0.500 0.500 0.500
Ir1 0.500 0.500 0.000

***

Question: The highest calculated formation energy belongs to which entry?
Answer: number 1